(1)
# ReTcGe3

ReTcGe3 after structural relaxation (PBE, the Alexandria database).

```
ReTcGe3
1.0
7.164 -5.052 0.000
7.164 5.052 0.000
-0.309 0.000 4.978
Re Tc Ge
4 4 12
direct
0.157 0.282 0.340
0.282 0.157 0.840
0.718 0.843 0.160
0.843 0.718 0.660
0.291 0.709 0.250
0.435 0.565 0.750
0.565 0.435 0.250
0.709 0.291 0.750
0.008 0.782 0.063
0.136 0.597 0.560
0.218 0.992 0.437
0.285 0.436 0.053
0.403 0.864 0.940
0.436 0.285 0.553
0.564 0.715 0.447
0.597 0.136 0.060
0.715 0.564 0.947
0.782 0.008 0.563
0.864 0.403 0.440
0.992 0.218 0.937
```

Calculated values
Its formation energy from the elements is 0.23 eV per atom. The density of states at the Fermi level is 0.7640 states/eV/atom. As for the space group: C2/c.

***

(2)
# Ca2SbH

Ca2SbH after structural relaxation (PBE, the Alexandria database).

```
Ca2SbH
1.0
5.178 0.000 0.000
0.000 5.178 0.000
0.000 0.000 3.757
Ca Sb H
2 1 1
direct
0.000 0.500 0.000
0.500 0.000 0.000
0.000 0.000 0.500
0.500 0.500 0.500
```

Calculated values
The density of states at the Fermi level is 0.2173 states/eV/atom. For the final energy, the calculation gives -13.30 eV/cell. As for the space group: P4/mmm.

***

(3)
# Pm2TcC

Pm2TcC after structural relaxation (PBE, the Alexandria database).

```
Pm2TcC
1.0
1.746 1.008 8.426
-1.746 1.008 8.426
0.000 -2.016 8.426
Pm Tc C
2 1 1
direct
0.109 0.109 0.109
0.891 0.891 0.891
0.000 0.000 0.000
0.500 0.500 0.500
```

Calculated values
Its formation energy from the elements is 0.71 eV per atom. The density of states at the Fermi level is 0.6703 states/eV/atom. As for the space group: R-3m.

***

(4)
# NaInTe2

NaInTe2 after structural relaxation (PBE, the Alexandria database).

```
NaInTe2
1.0
4.559 0.000 0.000
-0.015 7.551 0.000
-0.308 -0.630 8.918
Na In Te
2 2 4
direct
0.000 0.000 0.000
0.024 0.355 0.370
0.485 0.378 0.824
0.515 0.661 0.164
0.027 0.780 0.336
0.490 0.750 0.863
0.509 0.274 0.131
0.975 0.210 0.685
```

Calculated values
The density of states at the Fermi level is 0.0000 states/eV/atom. Its formation energy (no corrections) is -0.56 eV per atom. As for the space group: P1.

***

(5)
# PmTm5Sc3

PmTm5Sc3 after structural relaxation (PBE, the Alexandria database).

```
PmTm5Sc3
1.0
6.763 -5.319 0.000
6.763 5.319 0.000
-5.961 0.000 8.370
Pm Tm Sc
2 10 6
direct
0.236 0.236 0.327
0.764 0.764 0.673
0.152 0.152 0.593
0.164 0.633 0.263
0.280 0.720 0.000
0.303 0.303 0.988
0.367 0.836 0.737
0.633 0.164 0.263
0.697 0.697 0.012
0.720 0.280 0.000
0.836 0.367 0.737
0.848 0.848 0.407
0.000 0.000 0.000
0.028 0.028 0.764
0.427 0.427 0.740
0.500 0.500 0.500
0.573 0.573 0.260
0.972 0.972 0.236
```

Calculated values
Its formation energy from the elements is 0.59 eV per atom. The density of states at the Fermi level is 1.4598 states/eV/atom. As for the space group: C2/m.

***

(6)
# Pm3Pr2Y6Sc

Pm3Pr2Y6Sc after structural relaxation (PBE, the Alexandria database).

```
Pm3Pr2Y6Sc
1.0
3.108 -5.383 0.000
3.108 5.383 0.000
-2.067 0.000 11.691
Pm Pr Y Sc
3 2 6 1
direct
0.000 0.000 0.000
0.333 0.667 0.000
0.667 0.333 0.000
0.166 0.834 0.500
0.834 0.166 0.500
0.088 0.418 0.252
0.252 0.252 0.749
0.418 0.088 0.252
0.582 0.912 0.748
0.748 0.748 0.251
0.912 0.582 0.748
0.500 0.500 0.500
```

Calculated values
Its formation energy from the elements is 0.02 eV per atom. The density of states at the Fermi level is 1.3139 states/eV/atom. As for the space group: C2/m.

***

(7)
# NdSm2Si

NdSm2Si after structural relaxation (PBE, the Alexandria database).

```
NdSm2Si
1.0
4.754 0.000 0.000
0.000 4.754 0.000
0.000 0.000 4.720
Nd Sm Si
1 2 1
direct
0.000 0.000 0.000
0.000 0.500 0.500
0.500 0.000 0.500
0.500 0.500 0.000
```

Calculated values
The density of states at the Fermi level is 0.9686 states/eV/atom. Its formation energy (no corrections) is -0.25 eV per atom. As for the space group: P4/mmm.

***

(8)
# Zr5Ti2In5

Zr5Ti2In5 after structural relaxation (PBE, the Alexandria database).

```
Zr5Ti2In5
1.0
7.710 -1.659 0.000
7.710 1.659 0.000
-6.042 0.000 10.151
Zr Ti In
5 2 5
direct
0.000 0.000 0.000
0.068 0.068 0.748
0.264 0.264 0.254
0.736 0.736 0.746
0.932 0.932 0.252
0.170 0.170 0.503
0.830 0.830 0.497
0.331 0.331 0.001
0.393 0.393 0.732
0.500 0.500 0.500
0.607 0.607 0.268
0.669 0.669 0.999
```

Calculated values
Its formation energy from the elements is -0.20 eV per atom. The density of states at the Fermi level is 0.5990 states/eV/atom. As for the space group: C2/m.

***

- Look up the density of states at the Fermi level of the second one.
  0.2173 states/eV/atom